Computed, not measured: a relaxed K2FeF5 crystal at the GGA+U level of DFT.

Calculated values
Raw total energy = -4.870 eV per atom
Density = 3.00 g/cm³

Cell lengths 7.2331, 7.2331, 7.4437 Å; angles 64.63, 64.63, 47.46 degrees
Element x y z (fractional)
F 0.0573 0.0573 0.6711
K 0.4735 0.4735 0.2520
Fe 0.1895 0.1895 0.7173
F 0.3787 0.8993 0.9176
K 0.8344 0.8344 0.7734
F 0.1007 0.6213 0.0824
F 0.6213 0.1007 0.0824
F 0.5000 0.0000 0.5000
F 0.0000 0.5000 0.5000
K 0.5265 0.5265 0.7480
F 0.9427 0.9427 0.3289
F 0.3442 0.3442 0.6893
F 0.8993 0.3787 0.9176
F 0.6558 0.6558 0.3107
Fe 0.8105 0.8105 0.2827
K 0.1656 0.1656 0.2266